This record from the Alexandria database describes a geometry-optimized ScTe2N2 structure. The functional is PBE-GGA.

Summary:
uncorrected energy: -5.1662 eV per atom
total moment: 3.6 μB per cell
energy relative to the elements, uncorrected: 687 meV/atom

Structure (POSCAR):
```
ScTe2N2
1.0
4.337 0.000 0.000
0.000 4.337 0.000
0.000 0.000 6.112
Sc Te N
1 2 2
Direct
0.000 0.000 0.000
0.000 0.000 0.500
0.500 0.500 0.500
0.000 0.500 0.000
0.500 0.000 0.000
```

---

This record from the Alexandria database describes a geometry-optimized LiPmPtRh structure. The functional is PBE-GGA.

Summary:
ΔH_f (0 K): -591.4 meV per atom
uncorrected energy: -5.6056 eV per atom
total moment: 0.0 μB per cell

Structure (POSCAR):
```
LiPmPtRh
1.0
0.000 3.322 3.322
3.322 0.000 3.322
3.322 3.322 0.000
Li Pm Pt Rh
1 1 1 1
Direct
0.000 0.000 0.000
0.500 0.500 0.500
0.250 0.250 0.250
0.750 0.750 0.750
```